(1)
The following is a GGA-PBE calculation of a relaxed FeBHAuC crystal, from Alexandria.

Properties
* distance to the lowest polymorph of the same formula: 200 meV/atom
* magnetization: 1.84 μB/f.u.

a = 2.6566 Å, b = 5.1805 Å, c = 5.3569 Å
α = 75.02°, β = 60.20°, γ = 59.20°
Atoms (fractional coordinates):
C1 0.4952 0.6742 0.9176
Fe1 0.7476 0.6067 0.2316
H1 0.2407 0.9267 0.9267
B1 0.8824 0.6078 0.5950
Au1 0.5353 0.1194 0.4288

***

(2)
The following is a GGA-PBE calculation of a relaxed InBAuC2 crystal, from Alexandria.

Properties
* energy: -3.131 eV/atom
* magnetization: 1.28 μB/f.u.

a = 4.2065 Å, b = 5.6144 Å, c = 4.2065 Å
α = 90.00°, β = 90.00°, γ = 90.00°
Atoms (fractional coordinates):
In1 0.0000 0.0000 0.0000
C1 0.0000 0.0000 0.5000
C2 0.5000 0.0000 0.0000
Au1 0.0000 0.5000 0.0000
B1 0.5000 0.5000 0.5000

***

(3)
The following is a GGA-PBE calculation of a relaxed La2BAuC crystal, from Alexandria.

Properties
* energy: -5.489 eV/atom
* magnetization: 0.00 μB/f.u.

a = 5.2045 Å, b = 4.0550 Å, c = 5.2045 Å
α = 90.00°, β = 90.00°, γ = 90.00°
Atoms (fractional coordinates):
La1 0.0000 0.0000 0.5000
La2 0.5000 0.0000 0.0000
C1 0.0000 0.0000 0.0000
Au1 0.0000 0.5000 0.0000
B1 0.5000 0.5000 0.5000

***

(4)
The following is a GGA-PBE calculation of a relaxed SiBPAuC crystal, from Alexandria.

Properties
* distance to the lowest polymorph of the same formula: 224 meV/atom
* magnetization: 0.00 μB/f.u.

a = 2.8683 Å, b = 4.1788 Å, c = 7.1785 Å
α = 85.20°, β = 78.79°, γ = 69.93°
Atoms (fractional coordinates):
Si1 0.0965 0.8083 0.5113
B1 0.5439 0.0727 0.3463
C1 0.3658 0.4640 0.3108
Au1 0.9845 0.6921 0.8445
P1 0.8273 0.6638 0.1849

***

(5)
The following is a GGA-PBE calculation of a relaxed SiBPAuC crystal, from Alexandria.

Properties
* distance to the lowest polymorph of the same formula: 112 meV/atom
* magnetization: 0.00 μB/f.u.

a = 3.1299 Å, b = 3.1299 Å, c = 7.8319 Å
α = 90.00°, β = 90.00°, γ = 120.00°
Atoms (fractional coordinates):
Au1 0.0000 0.0000 0.1491
Si1 0.0000 0.0000 0.4622
P1 0.3333 0.6667 0.7856
B1 0.0000 0.0000 0.8606
C1 0.3333 0.6667 0.5447

***

(6)
The following is a GGA-PBE calculation of a relaxed SiBPAuC crystal, from Alexandria.

Properties
* distance to the lowest polymorph of the same formula: 398 meV/atom
* magnetization: 0.00 μB/f.u.

a = 6.5858 Å, b = 3.5725 Å, c = 6.9487 Å
α = 90.00°, β = 111.72°, γ = 90.00°
Atoms (fractional coordinates):
P1 0.0357 0.5000 0.6370
P2 0.0357 0.0000 0.1370
Si1 0.5186 0.5000 0.9816
Si2 0.5186 0.0000 0.4816
B1 0.4922 0.5000 0.6184
B2 0.4922 0.0000 0.1184
C1 0.3085 0.5000 0.7042
C2 0.3085 0.0000 0.2042
Au1 0.8429 0.0000 0.3798
Au2 0.8429 0.5000 0.8798

***

Question: Which of these has the highest magnetization?
Answer: FeBHAuC